Entry 1:
Material: AlInS2
Method: DFT, PBE
State: optimized geometry

Values from the calculation:
D(E_F) = 0.00 states/eV per cell
Calculated volume = 374 Å³/cell
Energy = -70.539 eV/cell
Space-group type = No. 12
Formation energy (no corrections) = -725 meV per atom
Mass density = 3.654 Mg/m³
Magnetization = 0.0 μB/f.u.

Unit cell a=17.806 b=3.447 c=8.394 alpha=90.00 beta=133.39 gamma=90.00
Fractional positions:
1 S 0.863 0.000 0.357
2 S 0.137 0.000 0.643
3 S 0.637 0.500 0.143
4 S 0.363 0.500 0.857
5 S 0.322 0.500 0.174
6 S 0.678 0.500 0.826
7 S 0.178 0.000 0.326
8 S 0.822 0.000 0.674
9 Al 0.311 0.000 0.967
10 Al 0.689 0.000 0.033
11 Al 0.189 0.500 0.533
12 Al 0.811 0.500 0.467
13 In 0.603 0.999 0.424
14 In 0.397 0.001 0.576
15 In 0.897 0.499 0.076
16 In 0.103 0.501 0.924

Entry 2:
Material: TbTm3Al
Method: DFT, PBE
State: optimized geometry

Values from the calculation:
Energy above the most stable polymorph in this dataset = 172 meV/atom
D(E_F) = 27.38 states/eV per cell
Calculated volume = 575 Å³/cell
Energy = -86.722 eV/cell
Space-group type = No. 15
Mass density = 8.008 Mg/m³
Formation energy from the elements = 0.11 eV/f.u.
Magnetization = 0.0 μB/f.u.

Unit cell a=6.572 b=9.411 c=9.411 alpha=89.82 beta=96.49 gamma=96.49
Fractional positions:
1 Tb 0.867 0.574 0.211
2 Tb 0.633 0.789 0.426
3 Tb 0.133 0.426 0.789
4 Tb 0.367 0.211 0.574
5 Tm 0.519 0.313 0.994
6 Tm 0.981 0.006 0.687
7 Tm 0.481 0.687 0.006
8 Tm 0.019 0.994 0.313
9 Tm 0.976 0.738 0.904
10 Tm 0.524 0.096 0.262
11 Tm 0.024 0.262 0.096
12 Tm 0.476 0.904 0.738
13 Tm 0.381 0.470 0.320
14 Tm 0.119 0.680 0.530
15 Tm 0.619 0.530 0.680
16 Tm 0.881 0.320 0.470
17 Al 0.250 0.009 0.991
18 Al 0.750 0.991 0.009
19 Al 0.250 0.780 0.220
20 Al 0.750 0.220 0.780

Entry 3:
Material: Zn4Ni
Method: DFT, PBE
State: optimized geometry

Values from the calculation:
D(E_F) = 1.69 states/eV per cell
Calculated volume = 75 Å³/cell
Energy = -9.981 eV/cell
Space-group type = No. 139
Mass density = 7.057 Mg/m³
Formation energy from the elements = 0.90 eV/f.u.
Magnetization = 0.0 μB/f.u.

Unit cell a=6.911 b=6.911 c=6.911 alpha=151.42 beta=151.42 gamma=40.86
Fractional positions:
1 Zn 0.750 0.250 0.500
2 Zn 0.592 0.592 0.000
3 Zn 0.408 0.408 0.000
4 Zn 0.250 0.750 0.500
5 Ni 0.000 0.000 0.000

Entry 4:
Material: Zr2SeCl
Method: DFT, PBE
State: optimized geometry

Values from the calculation:
Energy above the most stable polymorph in this dataset = 452 meV/atom
D(E_F) = 7.66 states/eV per cell
Calculated volume = 170 Å³/cell
Energy = -49.063 eV/cell
Space-group type = No. 122
Formation energy (no corrections) = -526 meV per atom
Mass density = 5.797 Mg/m³
Magnetization = 0.0 μB/f.u.

Unit cell a=7.143 b=7.143 c=6.052 alpha=53.83 beta=53.83 gamma=90.00
Fractional positions:
1 Se 0.000 0.000 0.000
2 Se 0.750 0.250 0.500
3 Zr 0.598 0.125 0.250
4 Zr 0.152 0.625 0.250
5 Zr 0.375 0.402 0.750
6 Zr 0.875 0.848 0.750
7 Cl 0.500 0.500 0.000
8 Cl 0.250 0.750 0.500